Entry 1:
Crystalline HPd3Pb at its relaxed geometry, computed with PBE.

Cell lengths 7.660, 7.660, 7.660 Å; angles 60.00, 60.00, 60.00 degrees
Element x y z (fractional)
Pb (0.625, 0.625, 0.625)
Pb (0.625, 0.125, 0.625)
Pb (0.125, 0.625, 0.625)
Pb (0.625, 0.625, 0.125)
H (0.125, 0.125, 0.125)
H (0.125, 0.625, 0.125)
H (0.625, 0.125, 0.125)
H (0.125, 0.125, 0.625)
Pd (0.812, 0.188, 0.188)
Pd (0.062, 0.438, 0.438)
Pd (0.438, 0.438, 0.062)
Pd (0.438, 0.062, 0.062)
Pd (0.062, 0.438, 0.062)
Pd (0.812, 0.188, 0.812)
Pd (0.438, 0.062, 0.438)
Pd (0.062, 0.062, 0.438)
Pd (0.188, 0.812, 0.188)
Pd (0.188, 0.812, 0.812)
Pd (0.188, 0.188, 0.812)
Pd (0.812, 0.812, 0.188)

Computed properties:
DFT total energy: -4.69 eV/atom
Energy above the most stable polymorph in this dataset: 66 meV/atom

***

Entry 2:
Crystalline H3Pd5Pb2 at its relaxed geometry, computed with PBE.

Cell lengths 5.537, 8.312, 8.312 Å; angles 54.55, 70.54, 70.54 degrees
Element x y z (fractional)
H (0.417, 0.491, 0.675)
H (0.917, 0.675, 0.491)
H (0.583, 0.509, 0.325)
H (0.083, 0.325, 0.509)
H (0.250, 0.000, 0.000)
H (0.750, 0.000, 0.000)
Pd (0.450, 0.214, 0.887)
Pd (0.950, 0.887, 0.214)
Pd (0.550, 0.786, 0.113)
Pd (0.050, 0.113, 0.786)
Pd (0.550, 0.700, 0.700)
Pd (0.450, 0.300, 0.300)
Pd (0.750, 0.500, 0.500)
Pd (0.250, 0.500, 0.500)
Pd (0.950, 0.300, 0.300)
Pd (0.050, 0.700, 0.700)
Pb (0.156, 0.657, 0.032)
Pb (0.656, 0.032, 0.657)
Pb (0.844, 0.343, 0.968)
Pb (0.344, 0.968, 0.343)

Computed properties:
DFT total energy: -4.43 eV/atom

***

Entry 3:
Crystalline HPd3Pb at its relaxed geometry, computed with PBE.

Cell lengths 5.432, 5.432, 6.536 Å; angles 65.45, 65.45, 90.00 degrees
Element x y z (fractional)
Pb (0.598, 0.098, 0.804)
Pb (0.902, 0.402, 0.196)
H (0.000, 0.000, 0.000)
H (0.250, 0.750, 0.500)
Pd (0.620, 0.868, 0.265)
Pd (0.132, 0.380, 0.735)
Pd (0.132, 0.884, 0.735)
Pd (0.116, 0.868, 0.265)
Pd (0.368, 0.368, 0.264)
Pd (0.632, 0.632, 0.736)

Computed properties:
DFT total energy: -4.61 eV/atom
Energy above the most stable polymorph in this dataset: 148 meV/atom

***

Entry 4:
Crystalline HPd3Pb2 at its relaxed geometry, computed with PBE.

Cell lengths 3.671, 6.446, 9.100 Å; angles 90.00, 101.64, 90.00 degrees
Element x y z (fractional)
H (0.354, 0.750, 0.708)
H (0.646, 0.250, 0.292)
Pd (0.403, 0.477, 0.805)
Pd (0.597, 0.523, 0.195)
Pd (0.403, 0.023, 0.805)
Pd (0.597, 0.977, 0.195)
Pd (0.830, 0.750, 0.660)
Pd (0.170, 0.250, 0.340)
Pb (0.199, 0.750, 0.398)
Pb (0.801, 0.250, 0.602)
Pb (0.999, 0.750, 0.997)
Pb (0.001, 0.250, 0.003)

Computed properties:
DFT total energy: -4.53 eV/atom
Energy above the most stable polymorph in this dataset: 0 meV/atom

***

Entry 5:
Crystalline HPd3Pb at its relaxed geometry, computed with PBE.

Cell lengths 13.196, 7.770, 7.770 Å; angles 114.05, 139.31, 40.69 degrees
Element x y z (fractional)
Pb (0.750, 0.175, 0.675)
Pb (0.250, 0.825, 0.325)
Pb (0.750, 0.600, 0.100)
Pb (0.250, 0.400, 0.900)
H (0.294, 0.238, 0.481)
H (0.206, 0.981, 0.738)
H (0.706, 0.762, 0.519)
H (0.794, 0.019, 0.262)
Pd (0.384, 0.307, 0.393)
Pd (0.116, 0.893, 0.807)
Pd (0.616, 0.693, 0.607)
Pd (0.884, 0.107, 0.193)
Pd (0.111, 0.245, 0.119)
Pd (0.389, 0.619, 0.745)
Pd (0.889, 0.755, 0.881)
Pd (0.611, 0.381, 0.255)
Pd (0.552, 0.101, 0.872)
Pd (0.948, 0.372, 0.601)
Pd (0.448, 0.899, 0.128)
Pd (0.052, 0.628, 0.399)

Computed properties:
DFT total energy: -4.66 eV/atom
Energy above the most stable polymorph in this dataset: 91 meV/atom

***

Entry 6:
Crystalline H2Pd3Pb at its relaxed geometry, computed with PBE.

Cell lengths 5.455, 5.713, 5.713 Å; angles 117.70, 90.00, 90.00 degrees
Element x y z (fractional)
H (0.510, 0.670, 0.043)
H (0.510, 0.043, 0.670)
H (0.010, 0.330, 0.957)
H (0.010, 0.957, 0.330)
Pd (0.189, 0.640, 0.138)
Pd (0.189, 0.138, 0.640)
Pd (0.689, 0.360, 0.862)
Pd (0.689, 0.862, 0.360)
Pd (0.008, 0.162, 0.162)
Pd (0.508, 0.838, 0.838)
Pb (0.505, 0.327, 0.327)
Pb (0.005, 0.673, 0.673)

Computed properties:
DFT total energy: -4.53 eV/atom
Energy above the most stable polymorph in this dataset: 0 meV/atom

***

Entry 7:
Crystalline H2PdPb2 at its relaxed geometry, computed with PBE.

Cell lengths 3.550, 3.550, 6.987 Å; angles 75.28, 75.28, 90.00 degrees
Element x y z (fractional)
Pb (0.367, 0.367, 0.265)
Pb (0.633, 0.633, 0.735)
H (0.750, 0.250, 0.500)
H (0.250, 0.750, 0.500)
Pd (0.000, 0.000, 0.000)

Computed properties:
DFT total energy: -3.60 eV/atom
Energy above the most stable polymorph in this dataset: 0 meV/atom

***

Entry 8:
Crystalline HPd3Pb at its relaxed geometry, computed with PBE.

Cell lengths 22.622, 5.255, 7.597 Å; angles 90.00, 160.80, 90.00 degrees
Element x y z (fractional)
Pb (0.196, 0.115, 0.986)
Pb (0.804, 0.885, 0.014)
Pb (0.304, 0.615, 0.514)
Pb (0.696, 0.385, 0.486)
H (0.602, 0.800, 0.872)
H (0.398, 0.200, 0.128)
H (0.898, 0.300, 0.628)
H (0.102, 0.700, 0.372)
Pd (0.318, 0.899, 0.006)
Pd (0.682, 0.101, 0.994)
Pd (0.182, 0.399, 0.494)
Pd (0.818, 0.601, 0.506)
Pd (0.436, 0.428, 0.489)
Pd (0.564, 0.572, 0.511)
Pd (0.064, 0.928, 0.011)
Pd (0.936, 0.072, 0.989)
Pd (0.561, 0.896, 0.997)
Pd (0.439, 0.104, 0.003)
Pd (0.939, 0.396, 0.503)
Pd (0.061, 0.604, 0.497)

Computed properties:
DFT total energy: -4.67 eV/atom
Energy above the most stable polymorph in this dataset: 83 meV/atom

***

Entry 9:
Crystalline HPd3Pb at its relaxed geometry, computed with PBE.

Cell lengths 4.157, 4.157, 4.157 Å; angles 90.00, 90.00, 90.00 degrees
Element x y z (fractional)
Pb (0.500, 0.500, 0.500)
H (0.000, 0.000, 0.000)
Pd (0.000, 0.500, 0.000)
Pd (0.000, 0.000, 0.500)
Pd (0.500, 0.000, 0.000)

Computed properties:
DFT total energy: -4.75 eV/atom
Energy above the most stable polymorph in this dataset: 1 meV/atom

***

Entry 10:
Crystalline H3Pd3Pb at its relaxed geometry, computed with PBE.

Cell lengths 3.440, 5.413, 9.711 Å; angles 75.46, 79.80, 71.48 degrees
Element x y z (fractional)
H (0.317, 0.960, 0.406)
H (0.683, 0.040, 0.594)
H (0.310, 0.342, 0.039)
H (0.690, 0.658, 0.961)
H (0.934, 0.002, 0.129)
H (0.066, 0.998, 0.871)
Pd (0.130, 0.197, 0.542)
Pd (0.870, 0.803, 0.458)
Pd (0.369, 0.055, 0.206)
Pd (0.631, 0.945, 0.794)
Pd (0.875, 0.293, 0.957)
Pd (0.125, 0.707, 0.043)
Pb (0.388, 0.529, 0.696)
Pb (0.612, 0.471, 0.304)

Computed properties:
DFT total energy: -4.30 eV/atom
Energy above the most stable polymorph in this dataset: 0 meV/atom

***

Entry 11:
Crystalline HPd4Pb at its relaxed geometry, computed with PBE.

Cell lengths 4.416, 5.680, 7.405 Å; angles 90.00, 107.35, 90.00 degrees
Element x y z (fractional)
H (0.100, 0.750, 0.200)
H (0.900, 0.250, 0.800)
Pd (0.195, 0.505, 0.389)
Pd (0.805, 0.495, 0.611)
Pd (0.195, 0.995, 0.389)
Pd (0.805, 0.005, 0.611)
Pd (0.598, 0.750, 0.196)
Pd (0.402, 0.250, 0.804)
Pd (0.000, 0.500, 0.000)
Pd (0.000, 0.000, 0.000)
Pb (0.386, 0.750, 0.772)
Pb (0.614, 0.250, 0.228)

Computed properties:
DFT total energy: -4.81 eV/atom
Energy above the most stable polymorph in this dataset: 0 meV/atom

***

Entry 12:
Crystalline HPd3Pb at its relaxed geometry, computed with PBE.

Cell lengths 4.827, 4.827, 10.427 Å; angles 76.62, 76.62, 90.00 degrees
Element x y z (fractional)
Pb (0.000, 0.000, 0.000)
Pb (0.250, 0.750, 0.500)
H (0.632, 0.132, 0.737)
H (0.868, 0.368, 0.263)
Pd (0.628, 0.875, 0.250)
Pd (0.125, 0.372, 0.750)
Pd (0.125, 0.878, 0.750)
Pd (0.122, 0.875, 0.250)
Pd (0.364, 0.364, 0.271)
Pd (0.636, 0.636, 0.729)

Computed properties:
DFT total energy: -3.96 eV/atom
Energy above the most stable polymorph in this dataset: 788 meV/atom